Record 1
The following is a DFT calculation (PBE) of crystalline MnPIr2 at its relaxed geometry.

abc: 2.773 4.611 4.357
angles: 90.00 90.00 90.00
Sites, in units of the cell vectors:
Ir 0.000 0.000 0.000
Ir 0.500 0.500 0.000
Mn 0.500 0.000 0.500
P 0.000 0.500 0.500

energy of formation from the pure elements = 0.09 eV/atom

***

Record 2
The following is a DFT calculation (PBE) of crystalline Li4Mg4Cd at its relaxed geometry.

abc: 4.457 6.850 6.850
angles: 83.92 71.01 71.01
Sites, in units of the cell vectors:
Li 0.669 0.331 0.331
Li 0.331 0.669 0.669
Li 0.000 0.669 0.331
Li 0.000 0.331 0.669
Mg 0.666 0.668 0.000
Mg 0.334 0.332 0.000
Mg 0.666 0.000 0.668
Mg 0.334 0.000 0.332
Cd 0.000 0.000 0.000

energy of formation from the pure elements = -0.09 eV/atom
distance to the lowest polymorph of the same formula = 7 meV per atom

***

Record 3
The following is a DFT calculation (PBE) of crystalline CaDyTlAu at its relaxed geometry.

abc: 3.716 3.716 7.569
angles: 90.00 90.00 90.00
Sites, in units of the cell vectors:
Ca 0.000 0.000 0.371
Dy 0.000 0.000 0.831
Tl 0.500 0.500 0.096
Au 0.500 0.500 0.629

energy of formation from the pure elements = -0.62 eV/atom
distance to the lowest polymorph of the same formula = 0 meV per atom

***

Record 4
The following is a DFT calculation (PBE) of crystalline LaTmCuAu at its relaxed geometry.

abc: 3.818 4.566 5.918
angles: 90.00 108.82 90.00
Sites, in units of the cell vectors:
La 0.859 0.500 0.718
Tm 0.136 0.000 0.272
Cu 0.424 0.000 0.847
Au 0.582 0.500 0.163

energy of formation from the pure elements = -0.52 eV/atom
distance to the lowest polymorph of the same formula = 0 meV per atom

***

Record 5
The following is a DFT calculation (PBE) of crystalline Rb3Sc2TiSe6 at its relaxed geometry.

abc: 6.913 6.913 8.247
angles: 98.04 98.04 119.99
Sites, in units of the cell vectors:
Rb 0.169 0.831 0.500
Rb 0.831 0.169 0.500
Rb 0.500 0.500 0.500
Sc 0.334 0.666 0.000
Sc 0.666 0.334 0.000
Ti 0.000 0.000 0.000
Se 0.939 0.613 0.816
Se 0.737 0.737 0.186
Se 0.061 0.387 0.184
Se 0.613 0.939 0.816
Se 0.263 0.263 0.814
Se 0.387 0.061 0.184

formation energy (no corrections) = -1.4238 eV per atom

***

Record 6
The following is a DFT calculation (PBE) of crystalline Mn3BePt12 at its relaxed geometry.

abc: 3.910 3.910 15.628
angles: 90.00 90.00 90.00
Sites, in units of the cell vectors:
Mn 0.000 0.000 0.246
Mn 0.000 0.000 0.500
Mn 0.000 0.000 0.754
Be 0.000 0.000 0.000
Pt 0.500 0.500 0.000
Pt 0.500 0.500 0.247
Pt 0.500 0.500 0.500
Pt 0.500 0.500 0.753
Pt 0.500 0.000 0.120
Pt 0.500 0.000 0.373
Pt 0.500 0.000 0.627
Pt 0.500 0.000 0.880
Pt 0.000 0.500 0.120
Pt 0.000 0.500 0.373
Pt 0.000 0.500 0.627
Pt 0.000 0.500 0.880

energy of formation from the pure elements = -0.34 eV/atom

***

Record 7
The following is a DFT calculation (PBE) of crystalline Ta3TlPt at its relaxed geometry.

abc: 4.994 4.994 4.994
angles: 90.00 90.00 90.00
Sites, in units of the cell vectors:
Tl 0.000 0.000 0.000
Pt 0.500 0.500 0.500
Ta 0.000 0.500 0.000
Ta 0.000 0.000 0.500
Ta 0.500 0.000 0.000

energy of formation from the pure elements = 2.46 eV/atom
distance to the lowest polymorph of the same formula = 1360 meV per atom

***

Record 8
The following is a DFT calculation (PBE) of crystalline Ca2Ag2Pd5Au at its relaxed geometry.

abc: 4.187 9.539 9.539
angles: 90.00 90.00 90.00
Sites, in units of the cell vectors:
Ca 0.000 0.676 0.176
Ca 0.000 0.324 0.824
Ca 0.000 0.176 0.324
Ca 0.000 0.824 0.676
Ag 0.000 0.123 0.623
Ag 0.000 0.877 0.377
Ag 0.000 0.623 0.877
Ag 0.000 0.377 0.123
Pd 0.500 0.201 0.063
Pd 0.500 0.799 0.937
Pd 0.500 0.063 0.799
Pd 0.500 0.701 0.437
Pd 0.500 0.937 0.201
Pd 0.500 0.299 0.563
Pd 0.500 0.563 0.701
Pd 0.500 0.437 0.299
Pd 0.500 0.500 0.000
Pd 0.500 0.000 0.500
Au 0.000 0.000 0.000
Au 0.000 0.500 0.500

energy of formation from the pure elements = -0.36 eV/atom

***

Total DFT energy (no corrections) values (in eV per atom) by entry order: -7.988, -1.746, -3.684, -4.708, -5.121, -6.826, -6.338, -4.257.